## Nd3YHo2As6 (PBE)

Data for Nd3YHo2As6 after structural relaxation.

Computed properties:
* volume: 312.4 Å³ per cell
* M_tot: 0.00 μB per cell
* DFT total energy: -6.337 eV per atom
* crystal system: monoclinic
* symmetry: C2/m
* ρ: 6916 kg/m3

a b c (Å): 7.2614 7.2614 7.2545
angles (deg): 99.59 99.59 119.99
Atoms (fractional coordinates):
Nd (0.0000, 0.0000, 0.0000)
Nd (0.3335, 0.6665, 0.0000)
Nd (0.6665, 0.3335, 0.0000)
Y (0.5000, 0.5000, 0.5000)
Ho (0.1667, 0.8333, 0.5000)
Ho (0.8333, 0.1667, 0.5000)
As (0.0856, 0.4200, 0.2599)
As (0.2457, 0.2457, 0.7401)
As (0.4200, 0.0856, 0.2599)
As (0.5800, 0.9144, 0.7401)
As (0.7543, 0.7543, 0.2599)
As (0.9144, 0.5800, 0.7401)